*one*
This record from Alexandria via LeMat-Bulk describes an optimized crystal structure of Sr3Se4. The functional is PBE.

Crystal system   hexagonal

Cell lengths 7.3595, 7.3595, 4.8143 Å; angles 90.00, 90.00, 120.00 degrees
Closest atoms and distances in Å follow each position.
Element x y z (fractional)
Sr: 0.0000 0.5000 0.0000  4 Se 3.21
Sr: 0.5000 0.5000 0.0000  4 Se 3.21
Sr: 0.5000 0.0000 0.0000  4 Se 3.21
Se: 0.0000 0.0000 0.2658  1 Se 2.26
Se: 0.0000 0.0000 0.7342  1 Se 2.26
Se: 0.6667 0.3333 0.5000  6 Sr 3.21
Se: 0.3333 0.6667 0.5000  6 Sr 3.21

---

*two*
This record from Alexandria via LeMat-Bulk describes an optimized crystal structure of Sr3Se4. The functional is PBE.

Crystal system   tetragonal

Cell lengths 12.5128, 12.5128, 12.5128 Å; angles 160.03, 160.03, 28.39 degrees
Closest atoms and distances in Å follow each position.
Element x y z (fractional)
Sr: 0.0000 0.0000 0.0000  8 Se 3.30
Sr: 0.6884 0.6884 0.0000  6 Se 3.07-3.36
Sr: 0.3116 0.3116 0.0000  6 Se 3.07-3.36
Se: 0.8169 0.8169 0.0000  5 Sr 3.07-3.12
Se: 0.1831 0.1831 0.0000  5 Sr 3.07-3.12
Se: 0.5499 0.5499 0.0000  1 Se 2.42
Se: 0.4501 0.4501 0.0000  1 Se 2.42

---

It is *one* that is the least stable of them.